[1]
{"formula": "Tb7PrTm3", "functional": "GGA-PBE", "state": "relaxed", "delta_e_f_ev_per_atom": 0.198, "sg": "P3m1, No. 156", "volume_a3_per_atom": 33.75, "lattice_angstrom": [[7.069, 0.000, 0.000], [-3.535, 6.122, 0.000], [0.000, 0.000, 8.577]], "species": ["Tb", "Tb", "Tb", "Tb", "Tb", "Tb", "Tb", "Pr", "Tm", "Tm", "Tm"], "frac_coords": [[0.000, 0.000, 0.000], [0.165, 0.330, 0.332], [0.165, 0.835, 0.332], [0.501, 0.002, 0.993], [0.501, 0.499, 0.993], [0.670, 0.835, 0.332], [0.998, 0.499, 0.993], [0.667, 0.333, 0.324], [0.332, 0.166, 0.665], [0.834, 0.166, 0.665], [0.834, 0.668, 0.665]]}

---

[2]
{"formula": "Tb4PrTm2", "functional": "GGA-PBE", "state": "relaxed", "delta_e_f_ev_per_atom": 0.126, "sg": "P2_1/m, No. 11", "volume_a3_per_atom": 32.05, "lattice_angstrom": [[6.186, 0.000, 0.000], [0.000, 6.525, 0.000], [-2.846, 0.000, 11.116]], "species": ["Tb", "Tb", "Tb", "Tb", "Tb", "Tb", "Tb", "Tb", "Pr", "Pr", "Tm", "Tm", "Tm", "Tm"], "frac_coords": [[0.147, 0.008, 0.288], [0.147, 0.492, 0.288], [0.205, 0.250, 0.571], [0.347, 0.750, 0.838], [0.653, 0.250, 0.162], [0.795, 0.750, 0.429], [0.853, 0.508, 0.712], [0.853, 0.992, 0.712], [0.459, 0.750, 0.140], [0.541, 0.250, 0.860], [0.107, 0.250, 0.996], [0.357, 0.750, 0.552], [0.643, 0.250, 0.448], [0.893, 0.750, 0.004]]}